# Sb2Pd2Se, optimized geometry, DFT GGA-PBE
data_Sb2Pd2Se
_chemical_formula_sum 'Sb4 Pd4 Se2'
_symmetry_space_group_name_H-M 'P 4/m b m'
_symmetry_Int_Tables_number 127
_symmetry_space_group_name_Hall '-P 4 2ab'
_cell_length_a 7.435
_cell_length_b 7.435
_cell_length_c 3.768
_cell_angle_alpha 90.00
_cell_angle_beta 90.00
_cell_angle_gamma 90.00
loop_
_atom_site_label
_atom_site_type_symbol
_atom_site_fract_x
_atom_site_fract_y
_atom_site_fract_z
Sb1 Sb 0.156 0.344 0.000
Pd1 Pd 0.135 0.635 0.500
Se1 Se 0.000 0.000 0.500
# Density of states at the Fermi level = 0.400 states/eV/atom
# Volume = 208.3 Å³ per cell
# Density = 8.54 g/cm3
# Excess energy over the best structure of this formula in the dataset = 0 meV/atom
# Formation energy without anion corrections = -0.168 eV/atom